(1)
NpSi2Tc4: optimized geometry, GGA-PBE.

energy relative to the elements, uncorrected = -0.33 eV/atom
N(E_F) = 12.08 states/eV per cell
total magnetic moment = 2.8 μB/f.u.

a = 7.1922 Å, b = 7.1922 Å, c = 4.0136 Å
α = 90.00°, β = 90.00°, γ = 146.85°
Sites, in units of the cell vectors:
Np: 0.0000 0.0000 0.0000
Si: 0.4142 0.5858 0.5000
Si: 0.5858 0.4142 0.5000
Tc: 0.1840 0.8160 0.5000
Tc: 0.3069 0.6931 0.0000
Tc: 0.6931 0.3069 0.0000
Tc: 0.8160 0.1840 0.5000

=====

(2)
NpSiTc: optimized geometry, GGA-PBE.

energy relative to the elements, uncorrected = -0.33 eV/atom
N(E_F) = 8.44 states/eV per cell
total magnetic moment = 2.2 μB/f.u.
excess energy over the best structure of this formula in the dataset = 0.0 meV/atom

a = 5.9612 Å, b = 5.9612 Å, c = 4.3423 Å
α = 90.00°, β = 90.00°, γ = 139.07°
Sites, in units of the cell vectors:
Np: 0.0700 0.9300 0.7500
Np: 0.9300 0.0700 0.2500
Si: 0.3681 0.6319 0.7500
Si: 0.6319 0.3681 0.2500
Tc: 0.2473 0.7527 0.2500
Tc: 0.7527 0.2473 0.7500

=====

(3)
Np2Si6Tc: optimized geometry, GGA-PBE.

energy relative to the elements, uncorrected = -0.33 eV/atom
N(E_F) = 18.89 states/eV per cell
total magnetic moment = 7.3 μB/f.u.

a = 5.9255 Å, b = 5.9255 Å, c = 5.9255 Å
α = 60.00°, β = 60.00°, γ = 60.00°
Sites, in units of the cell vectors:
Np: 0.2500 0.2500 0.2500
Np: 0.7500 0.7500 0.7500
Si: 0.2135 0.2135 0.7865
Si: 0.2135 0.7865 0.2135
Si: 0.2135 0.7865 0.7865
Si: 0.7865 0.2135 0.2135
Si: 0.7865 0.2135 0.7865
Si: 0.7865 0.7865 0.2135
Tc: 0.5000 0.5000 0.5000

=====

(4)
NpSi2Tc: optimized geometry, GGA-PBE.

energy relative to the elements, uncorrected = -0.30 eV/atom
N(E_F) = 5.85 states/eV per cell
total magnetic moment = 4.6 μB/f.u.
excess energy over the best structure of this formula in the dataset = 17.3 meV/atom

a = 3.0664 Å, b = 3.0664 Å, c = 6.8994 Å
α = 90.00°, β = 90.00°, γ = 90.00°
Sites, in units of the cell vectors:
Np: 0.0000 0.0000 0.0000
Si: 0.5000 0.5000 0.3053
Si: 0.5000 0.5000 0.6947
Tc: 0.0000 0.0000 0.5000

=====

(5)
Np4Si6Tc7: optimized geometry, GGA-PBE.

energy relative to the elements, uncorrected = -0.44 eV/atom
N(E_F) = 25.67 states/eV per cell
total magnetic moment = 8.0 μB/f.u.

a = 7.1097 Å, b = 7.1097 Å, c = 7.1097 Å
α = 109.47°, β = 109.47°, γ = 109.47°
Sites, in units of the cell vectors:
Np: 0.0000 0.0000 0.5000
Np: 0.0000 0.5000 0.0000
Np: 0.5000 0.0000 0.0000
Np: 0.5000 0.5000 0.5000
Si: 0.0000 0.3084 0.3084
Si: 0.0000 0.6916 0.6916
Si: 0.3084 0.0000 0.3084
Si: 0.3084 0.3084 0.0000
Si: 0.6916 0.0000 0.6916
Si: 0.6916 0.6916 0.0000
Tc: 0.0000 0.0000 0.0000
Tc: 0.2500 0.5000 0.7500
Tc: 0.2500 0.7500 0.5000
Tc: 0.5000 0.2500 0.7500
Tc: 0.5000 0.7500 0.2500
Tc: 0.7500 0.2500 0.5000
Tc: 0.7500 0.5000 0.2500

=====

(6)
Np2Si7Tc12: optimized geometry, GGA-PBE.

energy relative to the elements, uncorrected = -0.32 eV/atom
N(E_F) = 24.06 states/eV per cell
total magnetic moment = 3.8 μB/f.u.

a = 10.8449 Å, b = 10.8449 Å, c = 3.0523 Å
α = 90.00°, β = 90.00°, γ = 120.00°
Sites, in units of the cell vectors:
Np: 0.3333 0.6667 0.2439
Np: 0.6667 0.3333 0.7561
Si: 0.0000 0.0000 0.5000
Si: 0.1162 0.6985 0.7452
Si: 0.3015 0.4177 0.7452
Si: 0.4177 0.1162 0.2548
Si: 0.5823 0.8838 0.7452
Si: 0.6985 0.5823 0.2548
Si: 0.8838 0.3015 0.2548
Tc: 0.0814 0.4519 0.7501
Tc: 0.1126 0.2518 0.2462
Tc: 0.1392 0.8874 0.2462
Tc: 0.2518 0.1392 0.7538
Tc: 0.3705 0.9186 0.7501
Tc: 0.4519 0.3705 0.2499
Tc: 0.5481 0.6295 0.7501
Tc: 0.6295 0.0814 0.2499
Tc: 0.7482 0.8608 0.2462
Tc: 0.8608 0.1126 0.7538
Tc: 0.8874 0.7482 0.7538
Tc: 0.9186 0.5481 0.2499

=====

(7)
NpSi2Tc2: optimized geometry, GGA-PBE.

energy relative to the elements, uncorrected = -0.33 eV/atom
N(E_F) = 19.48 states/eV per cell
total magnetic moment = 3.5 μB/f.u.

a = 10.6963 Å, b = 10.6963 Å, c = 10.6963 Å
α = 158.19°, β = 158.10°, γ = 31.10°
Sites, in units of the cell vectors:
Np: 0.4147 0.1647 0.2500
Np: 0.5853 0.8353 0.7500
Si: 0.0273 0.2773 0.7500
Si: 0.1408 0.3908 0.7500
Si: 0.8592 0.6092 0.2500
Si: 0.9727 0.7227 0.2500
Tc: 0.2107 0.9607 0.2500
Tc: 0.2927 0.5427 0.7500
Tc: 0.7073 0.4573 0.2500
Tc: 0.7893 0.0393 0.7500

=====

(8)
NpSiTc: optimized geometry, GGA-PBE.

energy relative to the elements, uncorrected = -0.25 eV/atom
N(E_F) = 8.57 states/eV per cell
total magnetic moment = 0.1 μB/f.u.
excess energy over the best structure of this formula in the dataset = 86.3 meV/atom

a = 7.1753 Å, b = 7.1753 Å, c = 3.3629 Å
α = 90.00°, β = 90.00°, γ = 144.62°
Sites, in units of the cell vectors:
Np: 0.0646 0.9354 0.7500
Np: 0.9354 0.0646 0.2500
Si: 0.3721 0.6279 0.7500
Si: 0.6279 0.3721 0.2500
Tc: 0.2353 0.7647 0.2500
Tc: 0.7647 0.2353 0.7500